Entry from the Alexandria database: a geometry-optimized NpV2 structure (PBE).

ρ (Mg/m³): 11.4
Formation energy from the elements (eV/atom): 0.33

Unit cell a=5.1825 b=5.1825 c=5.1825 alpha=60.00 beta=60.00 gamma=60.00
With the nearest neighbours (Å) after each atom.
Atoms (fractional coordinates):
Np1 0.1250 0.1250 0.1250  12 V 3.04, 4 Np 3.17
Np2 0.8750 0.8750 0.8750  12 V 3.04, 4 Np 3.17
V1 0.0000 0.5000 0.5000  6 V 2.59
V2 0.5000 0.0000 0.5000  6 V 2.59
V3 0.5000 0.5000 0.0000  6 V 2.59
V4 0.5000 0.5000 0.5000  6 V 2.59